The following is a DFT calculation (GGA-PBE) of a relaxed structure of Ce3HoSb3.

Structure (POSCAR):
```
Ce3HoSb3
1.0
4.576 2.642 6.257
-4.576 2.642 6.257
0.000 -5.284 6.257
Ce Ho Sb
6 2 6
Cartesian
-1.128 -3.260 7.884
-3.387 -0.653 10.887
-2.259 2.607 7.884
2.259 -2.607 10.887
3.387 0.653 7.884
1.128 3.260 10.887
0.000 0.000 6.216
0.000 0.000 12.555
-2.794 -0.479 7.733
-0.982 -2.659 11.038
1.812 -2.180 7.733
-1.812 2.180 11.038
0.982 2.659 7.733
2.794 0.479 11.038
```

Properties
* size of the total moment: 8.094 μB/cell
* raw total energy: -80.3 eV per cell

---

The following is a DFT calculation (GGA-PBE) of a relaxed structure of Rb2Sc3PbF12.

Structure (POSCAR):
```
Rb2Sc3PbF12
1.0
3.942 2.276 6.009
-3.942 2.276 6.009
0.000 -4.552 6.009
Rb Sc Pb F
2 3 1 12
Cartesian
0.000 0.000 2.152
0.000 0.000 15.875
-1.971 -1.138 6.009
-1.971 1.138 12.018
0.000 2.276 6.009
0.000 0.000 9.013
-2.129 -1.229 8.008
0.000 -1.793 6.050
-1.553 0.897 6.050
0.000 -2.459 10.018
-2.129 1.229 10.018
-1.553 -0.897 11.977
1.553 0.897 6.050
2.129 -1.229 8.008
0.000 2.459 8.008
1.553 -0.897 11.977
0.000 1.793 11.977
2.129 1.229 10.018
```

Properties
* size of the total moment: 1.007 μB/cell
* raw total energy: -108.2 eV per cell

---

The following is a DFT calculation (GGA-PBE) of a relaxed structure of Nd3MgP2N6.

Structure (POSCAR):
```
Nd3MgP2N6
1.0
5.600 0.000 0.000
-2.800 4.850 0.000
0.000 0.000 6.199
Nd Mg P N
3 1 2 6
Cartesian
0.000 0.000 0.000
0.000 3.233 4.035
2.800 1.617 2.165
0.000 0.000 3.100
0.000 3.233 1.152
2.800 1.617 5.047
0.000 1.713 1.807
-1.317 3.993 1.807
1.483 0.856 4.392
1.317 3.993 1.807
4.117 0.856 4.392
2.800 3.137 4.392
```

Properties
* size of the total moment: 0.000 μB/cell
* raw total energy: -88.9 eV per cell